VASP calculation (GGA-PBE) on crystalline Sm3In3AgPd2 at its relaxed geometry.

Computed properties:
magnetization	0.0	μB/cell

Cell lengths 7.8043, 7.8043, 4.0115 Å; angles 90.00, 90.00, 120.00 degrees
With the nearest neighbours (Å) after each atom.
Space group P-62m (No. 189)
One atom of each set of equivalent atoms:
Sm  0.0000  0.4134  0.0000 (multiplicity 3)  4 Pd 3.09, 1 Ag 3.23, 2 In 3.24
In  0.0000  0.7387  0.5000 (multiplicity 3)  2 Ag 2.86, 2 Pd 2.92
Ag  0.0000  0.0000  0.0000 (multiplicity 1)  6 In 2.86
Pd  0.3333  0.6667  0.5000 (multiplicity 2)  3 In 2.92, 6 Sm 3.09



VASP calculation (GGA-PBE) on crystalline HfZr2Ga at its relaxed geometry.

Computed properties:
magnetization	3.7	μB/cell

Cell lengths 6.8891, 6.8891, 6.8891 Å; angles 90.00, 90.00, 90.00 degrees
With the nearest neighbours (Å) after each atom.
Space group F-43m (No. 216)
One atom of each set of equivalent atoms:
Hf  0.0000  0.0000  0.0000 (multiplicity 4)  4 Zr 2.98, 4 Ga 2.98
Zr  0.0000  0.0000  0.5000 (multiplicity 4)  4 Zr 2.98, 4 Ga 2.98
Zr  0.2500  0.2500  0.2500 (multiplicity 4)  4 Zr 2.98, 4 Hf 2.98
Ga  0.2500  0.2500  0.7500 (multiplicity 4)  4 Zr 2.98, 4 Hf 2.98



VASP calculation (GGA-PBE) on crystalline NbFeB2 at its relaxed geometry.

Computed properties:
magnetization	3.7	μB/cell

Cell lengths 3.0296, 3.1676, 8.3339 Å; angles 90.00, 90.00, 90.00 degrees
With the nearest neighbours (Å) after each atom.
Space group Amm2 (No. 38)
One atom of each set of equivalent atoms:
Nb  0.0000  0.0000  0.0000 (multiplicity 2)  7 B 2.35-2.38
Fe  0.5000  0.0000  0.7140 (multiplicity 2)  6 B 2.21-2.27
B  0.0000  0.0000  0.2861 (multiplicity 2)  2 B 1.78
B  0.5000  0.0000  0.3992 (multiplicity 2)  2 B 1.78



VASP calculation (GGA-PBE) on crystalline BeCuAgBi at its relaxed geometry.

Computed properties:
excess energy over the best structure of this formula in the dataset	86.7	meV per atom

Cell lengths 6.6275, 6.6275, 6.6275 Å; angles 90.00, 90.00, 90.00 degrees
With the nearest neighbours (Å) after each atom.
Space group F-43m (No. 216)
One atom of each set of equivalent atoms:
Be  0.0000  0.0000  0.0000 (multiplicity 4)  4 Cu 2.87, 4 Ag 2.87
Cu  0.2500  0.2500  0.2500 (multiplicity 4)  4 Bi 2.87, 4 Be 2.87
Ag  0.2500  0.2500  0.7500 (multiplicity 4)  4 Bi 2.87, 4 Be 2.87
Bi  0.0000  0.0000  0.5000 (multiplicity 4)  4 Cu 2.87, 4 Ag 2.87



VASP calculation (GGA-PBE) on crystalline RbNp at its relaxed geometry.

Computed properties:
magnetization	23.8	μB/cell

Cell lengths 7.6803, 7.6803, 7.6803 Å; angles 90.00, 90.00, 90.00 degrees
With the nearest neighbours (Å) after each atom.
Space group Fm-3m (No. 225)
One atom of each set of equivalent atoms:
Rb  0.0000  0.0000  0.0000 (multiplicity 4)  6 Np 3.84
Np  0.0000  0.0000  0.5000 (multiplicity 4)  6 Rb 3.84



VASP calculation (GGA-PBE) on crystalline TbGaO3 at its relaxed geometry.

Computed properties:
magnetization	0.0	μB/cell

Cell lengths 5.4419, 5.4419, 12.9309 Å; angles 90.00, 90.00, 120.00 degrees
With the nearest neighbours (Å) after each atom.
Space group R-3c (No. 167, hexagonal axes)
One atom of each set of equivalent atoms:
Tb  0.0000  0.0000  0.2500 (multiplicity 6)  3 O 2.23
Ga  0.0000  0.0000  0.0000 (multiplicity 6)  6 O 1.97
O  0.0000  0.4099  0.2500 (multiplicity 18)  2 Ga 1.97



Number 1: uncorrected energy -41.69 eV per formula unit. Number 2: uncorrected energy -30.47 eV per formula unit. Number 3: uncorrected energy -33.62 eV per formula unit. Number 4: uncorrected energy -12.12 eV per formula unit. Number 5: uncorrected energy -9.52 eV per formula unit. Number 6: uncorrected energy -35.75 eV per formula unit.